Crystalline Nd2RuI at its relaxed geometry. Source: Alexandria, functional PBE.

abc: 8.5503 8.5503 8.5503
angles: 28.06 28.06 28.06
Positions (direct):
1 Nd 0.0000 0.0000 0.0000
2 Nd 0.2093 0.2093 0.2093
3 Ru 0.6045 0.6045 0.6045
4 I 0.7720 0.7720 0.7720

## Properties
Its space-group type is R3m. The magnetic moment comes out at 0.000 μB/atom. The calculation puts the raw total energy at -5.688 eV/atom. As for the density of states at the Fermi level: 2.7 states/eV/f.u. For the formation energy (no corrections), the calculation gives -2.4 eV per formula unit.